# 1
This record from Alexandria describes a geometry-optimized SmHoErTm structure. The functional is PBE.

```
SmHoErTm
1.0
-2.504 2.504 4.982
2.504 -2.504 4.982
2.504 2.504 -4.982
Sm Ho Er Tm
1 1 1 1
direct
0.000 0.000 0.000
0.750 0.250 0.500
0.500 0.500 0.000
0.250 0.750 0.500
```

- formation energy from the elements (eV/atom) = 0.023
- relative energy among the computed polymorphs (kJ per mole of atoms) = 0.0
- SG = I-4m2
- total moment (μB/f.u.) = 0.0

---

# 2
This record from Alexandria describes a geometry-optimized Tb2Ho15Er2 structure. The functional is PBE.

```
Tb2Ho15Er2
1.0
5.526 3.191 5.836
-5.526 3.191 5.836
0.000 -6.381 5.836
Tb Ho Er
2 15 2
direct
0.178 0.178 0.178
0.822 0.822 0.822
0.000 0.500 0.500
0.129 0.129 0.649
0.129 0.649 0.129
0.201 0.500 0.799
0.201 0.799 0.500
0.351 0.871 0.871
0.500 0.000 0.500
0.500 0.201 0.799
0.500 0.500 0.000
0.500 0.799 0.201
0.649 0.129 0.129
0.799 0.201 0.500
0.799 0.500 0.201
0.871 0.351 0.871
0.871 0.871 0.351
0.404 0.404 0.404
0.596 0.596 0.596
```

- formation energy from the elements (eV/atom) = 0.289
- SG = R-3m
- total moment (μB/f.u.) = 0.0

---

# 3
This record from Alexandria describes a geometry-optimized LiTiP2H structure. The functional is PBE.

```
LiTiP2H
1.0
4.223 0.000 0.000
0.000 4.223 0.000
0.000 0.000 3.455
Li Ti P H
1 1 2 1
direct
0.000 0.000 0.000
0.500 0.500 0.000
0.000 0.500 0.500
0.500 0.000 0.500
0.500 0.500 0.500
```

- raw total energy (eV/atom) = -4.897
- SG = P4/mmm
- total moment (μB/f.u.) = 0.0

---

# 4
This record from Alexandria describes a geometry-optimized SrTmCd2 structure. The functional is PBE.

```
SrTmCd2
1.0
5.485 0.000 0.000
0.000 5.485 0.000
0.000 0.000 3.806
Sr Tm Cd
1 1 2
direct
0.000 0.000 0.000
0.500 0.500 0.000
0.000 0.500 0.500
0.500 0.000 0.500
```

- formation energy from the elements (eV/atom) = -0.265
- SG = P4/mmm
- total moment (μB/f.u.) = 0.0

---

# 5
This record from Alexandria describes a geometry-optimized CaSiAu2 structure. The functional is PBE.

```
CaSiAu2
1.0
2.196 1.268 5.148
-2.196 1.268 5.148
0.000 -2.536 5.148
Ca Si Au
1 1 2
direct
0.000 0.000 0.000
0.500 0.500 0.500
0.213 0.213 0.213
0.787 0.787 0.787
```

- formation energy from raw total energies (eV/atom) = -0.436
- SG = R-3m
- total moment (μB/f.u.) = 0.0

---

# 6
This record from Alexandria describes a geometry-optimized HfZrMnCd structure. The functional is PBE.

```
HfZrMnCd
1.0
3.189 0.000 0.000
0.000 3.189 0.000
0.000 0.000 7.463
Hf Zr Mn Cd
1 1 1 1
direct
0.000 0.000 0.000
0.000 0.000 0.413
0.500 0.500 0.200
0.500 0.500 0.710
```

- formation energy from the elements (eV/atom) = -0.106
- SG = P4mm
- total moment (μB/f.u.) = 0.0

---

# 7
This record from Alexandria describes a geometry-optimized Ca3Hg8Pb2 structure. The functional is PBE.

```
Ca3Hg8Pb2
1.0
3.056 1.764 11.685
-3.056 1.764 11.685
0.000 -3.529 11.685
Ca Hg Pb
3 8 2
direct
0.000 0.000 0.000
0.188 0.188 0.188
0.812 0.812 0.812
0.225 0.723 0.723
0.275 0.275 0.275
0.277 0.277 0.775
0.277 0.775 0.277
0.723 0.225 0.723
0.723 0.723 0.225
0.725 0.725 0.725
0.775 0.277 0.277
0.362 0.362 0.362
0.638 0.638 0.638
```

- formation energy from the elements (eV/atom) = -0.190
- SG = R-3m
- total moment (μB/f.u.) = 0.0

---

# 8
This record from Alexandria describes a geometry-optimized Pr2ErZn structure. The functional is PBE.

```
Pr2ErZn
1.0
-2.582 2.582 8.764
2.582 -2.582 8.764
2.582 2.582 -8.764
Pr Er Zn
4 2 2
direct
0.000 0.500 0.500
0.145 0.145 0.000
0.500 0.000 0.500
0.855 0.855 0.000
0.349 0.349 0.000
0.651 0.651 0.000
0.250 0.750 0.500
0.750 0.250 0.500
```

- formation energy from the elements (eV/atom) = -0.153
- relative energy among the computed polymorphs (kJ per mole of atoms) = 0.0
- SG = I4/mmm
- total moment (μB/f.u.) = 0.0